# 1
Here is a relaxed YTlCuMo crystal from OQMD. Energies are from GGA-PBE.

abc: 6.945 6.945 6.945
angles: 90.00 90.00 90.00
Space group F-43m (No. 216)
Inequivalent atoms, fractional coordinates:
Y  0.000  0.000  0.000 [4 per cell]
Tl  0.250  0.250  0.250 [4 per cell]
Cu  0.000  0.000  0.500 [4 per cell]
Mo  0.250  0.250  0.750 [4 per cell]

Computed properties:
Distance to the lowest polymorph of the same formula = 0.48 eV/f.u.

***

# 2
Here is a relaxed TmCuMo crystal from OQMD. Energies are from GGA-PBE.

abc: 6.323 6.323 6.323
angles: 90.00 90.00 90.00
Space group F-43m (No. 216)
Inequivalent atoms, fractional coordinates:
Tm  0.000  0.000  0.000 [4 per cell]
Cu  0.000  0.000  0.500 [4 per cell]
Mo  0.250  0.250  0.750 [4 per cell]

Computed properties:
Distance to the lowest polymorph of the same formula = 0.00 eV/f.u.
Energy relative to the elements = 0.9987 eV per atom

***

# 3
Here is a relaxed TmCuMo crystal from OQMD. Energies are from GGA-PBE.

abc: 6.395 6.395 6.395
angles: 90.00 90.00 90.00
Space group F-43m (No. 216)
Inequivalent atoms, fractional coordinates:
Tm  0.000  0.000  0.000 [4 per cell]
Cu  0.250  0.250  0.750 [4 per cell]
Mo  0.250  0.250  0.250 [4 per cell]

Computed properties:
Distance to the lowest polymorph of the same formula = 0.70 eV/f.u.
Energy relative to the elements = 1.2315 eV per atom

***

# 4
Here is a relaxed CuMo2W crystal from OQMD. Energies are from GGA-PBE.

abc: 6.222 6.222 6.222
angles: 90.00 90.00 90.00
Space group F-43m (No. 216)
Inequivalent atoms, fractional coordinates:
Cu  0.000  0.000  0.000 [4 per cell]
Mo  0.000  0.000  0.500 [4 per cell]
Mo  0.250  0.250  0.750 [4 per cell]
W  0.250  0.250  0.250 [4 per cell]

Computed properties:
Energy relative to the elements = 0.3782 eV per atom

***

# 5
Here is a relaxed YCu2Mo crystal from OQMD. Energies are from GGA-PBE.

abc: 6.504 6.504 6.504
angles: 90.00 90.00 90.00
Space group F-43m (No. 216)
Inequivalent atoms, fractional coordinates:
Y  0.000  0.000  0.000 [4 per cell]
Cu  0.000  0.000  0.500 [4 per cell]
Cu  0.250  0.250  0.250 [4 per cell]
Mo  0.250  0.250  0.750 [4 per cell]

Computed properties:
Energy relative to the elements = 0.4977 eV per atom

***

# 6
Here is a relaxed Zn2CuMo crystal from OQMD. Energies are from GGA-PBE.

abc: 6.094 6.094 6.094
angles: 90.00 90.00 90.00
Space group Fm-3m (No. 225)
Inequivalent atoms, fractional coordinates:
Zn  0.250  0.250  0.250 [8 per cell]
Cu  0.000  0.000  0.000 [4 per cell]
Mo  0.000  0.000  0.500 [4 per cell]

Computed properties:
Distance to the lowest polymorph of the same formula = 0.00 eV/f.u.
Energy relative to the elements = 0.2787 eV per atom

***

# 7
Here is a relaxed ZrZnCuMo crystal from OQMD. Energies are from GGA-PBE.

abc: 6.399 6.399 6.399
angles: 90.00 90.00 90.00
Space group F-43m (No. 216)
Inequivalent atoms, fractional coordinates:
Zr  0.000  0.000  0.000 [4 per cell]
Zn  0.000  0.000  0.500 [4 per cell]
Cu  0.250  0.250  0.750 [4 per cell]
Mo  0.250  0.250  0.250 [4 per cell]

Computed properties:
Distance to the lowest polymorph of the same formula = 0.00 eV/f.u.
Energy relative to the elements = 0.2961 eV per atom

***

# 8
Here is a relaxed ZrCuMo2 crystal from OQMD. Energies are from GGA-PBE.

abc: 6.402 6.402 6.402
angles: 90.00 90.00 90.00
Space group F-43m (No. 216)
Inequivalent atoms, fractional coordinates:
Zr  0.000  0.000  0.000 [4 per cell]
Cu  0.250  0.250  0.250 [4 per cell]
Mo  0.000  0.000  0.500 [4 per cell]
Mo  0.250  0.250  0.750 [4 per cell]

Computed properties:
Energy relative to the elements = 0.1258 eV per atom

***

# 9
Here is a relaxed Cu2N3 crystal from OQMD. Energies are from GGA-PBE.

abc: 4.9958 4.9958 12.9515
angles: 90.00 90.00 120.00
Space group R-3c (No. 167, hexagonal axes)
Inequivalent atoms, fractional coordinates:
Cu  0.0000  0.0000  0.1469 [12 per cell]
N  0.0000  0.3006  0.2500 [18 per cell]

Computed properties:
Energy = -149.98 eV/cell

***

# 10
Here is a relaxed Cu5N crystal from OQMD. Energies are from GGA-PBE.

abc: 4.6336 4.6336 4.2159
angles: 90.00 90.00 120.00
Space group P6/mmm (No. 191)
Inequivalent atoms, fractional coordinates:
Cu  0.0000  0.5000  0.0000 [3 per cell]
Cu  0.3333  0.6667  0.5000 [2 per cell]
N  0.0000  0.0000  0.5000 [1 per cell]

Computed properties:
Energy = -20.77 eV/cell

***

# 11
Here is a relaxed Cu2N crystal from OQMD. Energies are from GGA-PBE.

abc: 8.342 8.342 8.342
angles: 90.00 90.00 90.00
Space group Fd-3m (No. 227, origin choice 2)
Inequivalent atoms, fractional coordinates:
Cu  0.000  0.000  0.000 [16 per cell]
N  0.125  0.125  0.125 [8 per cell]

Computed properties:
Energy = -110.24 eV/cell

***

# 12
Here is a relaxed Nb2CuN crystal from OQMD. Energies are from GGA-PBE.

abc: 3.1479 3.1479 12.9964
angles: 90.00 90.00 120.00
Space group P6_3/mmc (No. 194)
Inequivalent atoms, fractional coordinates:
Nb  0.3333  0.6667  0.0905 [4 per cell]
Cu  0.3333  0.6667  0.7500 [2 per cell]
N  0.0000  0.0000  0.0000 [2 per cell]

Computed properties:
Energy = -67.66 eV/cell

***

Number 3 is which compound?
TmCuMo